No. 1
Compound: Tb3Ru
Source: Alexandria via LeMat-Bulk
Functional: GGA-PBEsol
Structure: optimized geometry

Computed properties:
Formation energy in meV per atom: -267
E_tot in eV per atom: -6.5672
Space-group type: No. 62

Cell: 6.2103 7.1993 9.0971 Å, 90.00 90.00 90.00°
Last column: nearest neighbours and their distance in Å.
Positions (direct):
Tb 0.3319 0.6780 0.0644  2 Ru 2.81-2.88
Tb 0.1681 0.1780 0.4356  2 Ru 2.81-2.88
Tb 0.6681 0.3220 0.5644  2 Ru 2.81-2.88
Tb 0.8319 0.8220 0.9356  2 Ru 2.81-2.88
Tb 0.6681 0.3220 0.9356  2 Ru 2.81-2.88
Tb 0.8319 0.8220 0.5644  2 Ru 2.81-2.88
Tb 0.3319 0.6780 0.4356  2 Ru 2.81-2.88
Tb 0.1681 0.1780 0.0644  2 Ru 2.81-2.88
Tb 0.8653 0.5403 0.2500  2 Ru 2.72-2.77
Tb 0.6347 0.0403 0.2500  2 Ru 2.72-2.77
Tb 0.1347 0.4597 0.7500  2 Ru 2.72-2.77
Tb 0.3653 0.9597 0.7500  2 Ru 2.72-2.77
Ru 0.0438 0.8857 0.2500  6 Tb 2.72-2.88
Ru 0.4562 0.3857 0.2500  6 Tb 2.72-2.88
Ru 0.9562 0.1143 0.7500  6 Tb 2.72-2.88
Ru 0.5438 0.6143 0.7500  6 Tb 2.72-2.88

No. 2
Compound: TcRu2
Source: Alexandria via LeMat-Bulk
Functional: GGA-PBEsol
Structure: optimized geometry

Computed properties:
Formation energy in meV per atom: 1045
E_tot in eV per atom: -9.4920
ΔE to the lowest computed polymorph in meV per atom: 1105
Space-group type: No. 123

Cell: 2.9822 4.0228 4.0228 Å, 90.00 90.00 90.00°
Last column: nearest neighbours and their distance in Å.
Positions (direct):
Ru 0.5000 0.0000 0.5000  4 Tc 2.50
Ru 0.5000 0.5000 0.0000  4 Tc 2.50
Tc 0.0000 0.0000 0.0000  8 Ru 2.50

no.,DOS(E_F) (states/eV/f.u.)
1,3.028
2,3.596